No. 1
First-principles (PBE) data for a relaxed Ta2AsPt crystal, as listed in the Alexandria database.

The structure in CIF format:
```
data_Ta2AsPt
_chemical_formula_sum 'Ta6 As3 Pt3'
_space_group_name_H-M_alt 'R -3 m'
_space_group_IT_number 166
_space_group_name_Hall '-R 3 2"'
_cell_length_a 2.9190
_cell_length_b 2.9190
_cell_length_c 27.4929
_cell_angle_alpha 90.00
_cell_angle_beta 90.00
_cell_angle_gamma 120.00
loop_
_atom_site_label
_atom_site_type_symbol
_atom_site_fract_x
_atom_site_fract_y
_atom_site_fract_z
Ta1 Ta 0.0000 0.0000 0.2494
As1 As 0.0000 0.0000 0.5000
Pt1 Pt 0.0000 0.0000 0.0000
```

Properties
As for the formation energy: -0.127 eV/atom.

=====

No. 2
First-principles (PBE) data for a relaxed SmHoIn6 crystal, as listed in the Alexandria database.

The structure in CIF format:
```
data_SmHoIn6
_chemical_formula_sum 'Sm1 Ho1 In6'
_space_group_name_H-M_alt 'P 4/m m m'
_space_group_IT_number 123
_space_group_name_Hall '-P 4 2'
_cell_length_a 4.658
_cell_length_b 4.658
_cell_length_c 9.310
_cell_angle_alpha 90.00
_cell_angle_beta 90.00
_cell_angle_gamma 90.00
loop_
_atom_site_label
_atom_site_type_symbol
_atom_site_fract_x
_atom_site_fract_y
_atom_site_fract_z
Sm1 Sm 0.000 0.000 0.000
Ho1 Ho 0.000 0.000 0.500
In1 In 0.000 0.500 0.253
In2 In 0.500 0.500 0.000
In3 In 0.500 0.500 0.500
```

Properties
For the energy relative to the lowest polymorph listed for this composition, the calculation gives 0.000 eV per atom. As for the formation energy: -0.429 eV/atom.

=====

No. 3
First-principles (PBE) data for a relaxed CeDy5Er4 crystal, as listed in the Alexandria database.

The structure in CIF format:
```
data_CeDy5Er4
_chemical_formula_sum 'Ce2 Dy10 Er8'
_space_group_name_H-M_alt 'I 4 m m'
_space_group_IT_number 107
_space_group_name_Hall 'I 4 -2'
_cell_length_a 10.460
_cell_length_b 10.460
_cell_length_c 5.806
_cell_angle_alpha 90.00
_cell_angle_beta 90.00
_cell_angle_gamma 90.00
loop_
_atom_site_label
_atom_site_type_symbol
_atom_site_fract_x
_atom_site_fract_y
_atom_site_fract_z
Ce1 Ce 0.000 0.000 0.000
Dy1 Dy 0.000 0.000 0.531
Dy2 Dy 0.186 0.186 0.235
Er1 Er 0.000 0.327 0.739
```

Properties
For the energy relative to the lowest polymorph listed for this composition, the calculation gives 0.163 eV per atom. As for the formation energy: 0.274 eV/atom.

=====

No. 4
First-principles (PBE) data for a relaxed Ac2Ni crystal, as listed in the Alexandria database.

The structure in CIF format:
```
data_Ac2Ni
_chemical_formula_sum 'Ac8 Ni4'
_space_group_name_H-M_alt 'C 1 2/m 1'
_space_group_IT_number 12
_cell_length_a 13.173
_cell_length_b 4.032
_cell_length_c 9.329
_cell_angle_alpha 90.00
_cell_angle_beta 128.40
_cell_angle_gamma 90.00
loop_
_space_group_symop_operation_xyz
'x,y,z'
'-x,-y,-z'
'-x,y,-z'
'x,-y,z'
'x+1/2,y+1/2,z'
'-x+1/2,-y+1/2,-z'
'-x+1/2,y+1/2,-z'
'x+1/2,-y+1/2,z'
loop_
_atom_site_label
_atom_site_type_symbol
_atom_site_fract_x
_atom_site_fract_y
_atom_site_fract_z
Ac1 Ac 0.075 0.000 0.376
Ac2 Ac 0.183 0.500 0.097
Ni1 Ni 0.116 0.500 0.659
```

Properties
For the energy relative to the lowest polymorph listed for this composition, the calculation gives 0.000 eV per atom. As for the formation energy: -0.171 eV/atom.

=====

No. 5
First-principles (PBE) data for a relaxed In2OF2 crystal, as listed in the Alexandria database.

The structure in CIF format:
```
data_In2OF2
_chemical_formula_sum 'In4 O2 F4'
_space_group_name_H-M_alt 'P 4/m b m'
_space_group_IT_number 127
_space_group_name_Hall '-P 4 2ab'
_cell_length_a 6.077
_cell_length_b 6.077
_cell_length_c 3.985
_cell_angle_alpha 90.00
_cell_angle_beta 90.00
_cell_angle_gamma 90.00
loop_
_atom_site_label
_atom_site_type_symbol
_atom_site_fract_x
_atom_site_fract_y
_atom_site_fract_z
In1 In 0.165 0.335 0.000
O1 O 0.000 0.000 0.000
F1 F 0.225 0.725 0.500
```

Properties
The value obtained for the calculated total energy is -0.16482 hartree per atom.

=====

No. 6
First-principles (PBE) data for a relaxed Eu3Sn5F12 crystal, as listed in the Alexandria database.

The structure in CIF format:
```
data_Eu3Sn5F12
_chemical_formula_sum 'Eu24 Sn40 F96'
_space_group_name_H-M_alt 'I a -3 d'
_space_group_IT_number 230
_space_group_name_Hall '-I 4bd 2c 3'
_cell_length_a 14.681
_cell_length_b 14.681
_cell_length_c 14.681
_cell_angle_alpha 90.00
_cell_angle_beta 90.00
_cell_angle_gamma 90.00
loop_
_atom_site_label
_atom_site_type_symbol
_atom_site_fract_x
_atom_site_fract_y
_atom_site_fract_z
Eu1 Eu 0.000 0.250 0.125
Sn1 Sn 0.000 0.000 0.000
Sn2 Sn 0.000 0.250 0.375
F1 F 0.001 0.064 0.159
```

Properties
The value obtained for the calculated total energy is -0.22166 hartree per atom.

=====

No. 7
First-principles (PBE) data for a relaxed Mn2AlCr crystal, as listed in the Alexandria database.

The structure in CIF format:
```
data_Mn2AlCr
_chemical_formula_sum 'Mn2 Al1 Cr1'
_space_group_name_H-M_alt 'P 1 2/m 1'
_space_group_IT_number 10
_cell_length_a 2.529
_cell_length_b 3.932
_cell_length_c 4.786
_cell_angle_alpha 90.00
_cell_angle_beta 100.45
_cell_angle_gamma 90.00
loop_
_space_group_symop_operation_xyz
'x,y,z'
'-x,-y,-z'
'-x,y,-z'
'x,-y,z'
loop_
_atom_site_label
_atom_site_type_symbol
_atom_site_fract_x
_atom_site_fract_y
_atom_site_fract_z
Mn1 Mn 0.199 0.000 0.251
Al1 Al 0.500 0.500 0.000
Cr1 Cr 0.000 0.500 0.500
```

Properties
As for the formation energy: -0.043 eV/atom.

=====

No. 8
First-principles (PBE) data for a relaxed PmDy7Ho12 crystal, as listed in the Alexandria database.

The structure in CIF format:
```
data_PmDy7Ho12
_chemical_formula_sum 'Pm3 Dy21 Ho36'
_space_group_name_H-M_alt 'R -3'
_space_group_IT_number 148
_space_group_name_Hall '-R 3'
_cell_length_a 12.7667
_cell_length_b 12.7667
_cell_length_c 13.5705
_cell_angle_alpha 90.00
_cell_angle_beta 90.00
_cell_angle_gamma 120.00
loop_
_atom_site_label
_atom_site_type_symbol
_atom_site_fract_x
_atom_site_fract_y
_atom_site_fract_z
Pm1 Pm 0.0000 0.0000 0.0000
Dy1 Dy 0.0000 0.0000 0.5000
Dy2 Dy 0.0682 0.2017 0.8500
Ho1 Ho 0.0030 0.5666 0.2478
Ho2 Ho 0.0681 0.8685 0.3460
```

Properties
For the energy relative to the lowest polymorph listed for this composition, the calculation gives 0.000 eV per atom. As for the formation energy: 0.302 eV/atom.

=====

No. 9
First-principles (PBE) data for a relaxed Li2PrSi crystal, as listed in the Alexandria database.

The structure in CIF format:
```
data_Li2PrSi
_chemical_formula_sum 'Li16 Pr8 Si8'
_space_group_name_H-M_alt 'I m m m'
_space_group_IT_number 71
_space_group_name_Hall '-I 2 2'
_cell_length_a 4.447
_cell_length_b 9.406
_cell_length_c 16.107
_cell_angle_alpha 90.00
_cell_angle_beta 90.00
_cell_angle_gamma 90.00
loop_
_atom_site_label
_atom_site_type_symbol
_atom_site_fract_x
_atom_site_fract_y
_atom_site_fract_z
Li1 Li 0.000 0.000 0.071
Li2 Li 0.000 0.168 0.303
Li3 Li 0.000 0.500 0.098
Pr1 Pr 0.000 0.241 0.500
Pr2 Pr 0.000 0.500 0.300
Si1 Si 0.000 0.233 0.140
```

Properties
The value obtained for the calculated total energy is -0.13982 hartree per atom.

=====

No. 10
First-principles (PBE) data for a relaxed Na4U3BeS8 crystal, as listed in the Alexandria database.

The structure in CIF format:
```
data_Na4U3BeS8
_chemical_formula_sum 'Na8 U6 Be2 S16'
_space_group_name_H-M_alt 'C 1 2/m 1'
_space_group_IT_number 12
_cell_length_a 13.530
_cell_length_b 7.678
_cell_length_c 8.089
_cell_angle_alpha 90.00
_cell_angle_beta 123.67
_cell_angle_gamma 90.00
loop_
_space_group_symop_operation_xyz
'x,y,z'
'-x,-y,-z'
'-x,y,-z'
'x,-y,z'
'x+1/2,y+1/2,z'
'-x+1/2,-y+1/2,-z'
'-x+1/2,y+1/2,-z'
'x+1/2,-y+1/2,z'
loop_
_atom_site_label
_atom_site_type_symbol
_atom_site_fract_x
_atom_site_fract_y
_atom_site_fract_z
Na1 Na 0.000 0.000 0.000
Na2 Na 0.000 0.500 0.000
Na3 Na 0.250 0.250 0.000
U1 U 0.000 0.000 0.500
U2 U 0.250 0.250 0.500
Be1 Be 0.000 0.500 0.500
S1 S 0.007 0.279 0.295
S2 S 0.244 0.000 0.737
S3 S 0.249 0.500 0.737
```

Properties
The value obtained for the calculated total energy is -0.21781 hartree per atom.

=====

No. 11
First-principles (PBE) data for a relaxed ReH2F8 crystal, as listed in the Alexandria database.

The structure in CIF format:
```
data_ReH2F8
_chemical_formula_sum 'Re2 H4 F16'
_space_group_name_H-M_alt 'C 1 2/m 1'
_space_group_IT_number 12
_cell_length_a 9.893
_cell_length_b 5.610
_cell_length_c 5.855
_cell_angle_alpha 90.00
_cell_angle_beta 93.25
_cell_angle_gamma 90.00
loop_
_space_group_symop_operation_xyz
'x,y,z'
'-x,-y,-z'
'-x,y,-z'
'x,-y,z'
'x+1/2,y+1/2,z'
'-x+1/2,-y+1/2,-z'
'-x+1/2,y+1/2,-z'
'x+1/2,-y+1/2,z'
loop_
_atom_site_label
_atom_site_type_symbol
_atom_site_fract_x
_atom_site_fract_y
_atom_site_fract_z
Re1 Re 0.000 0.000 0.000
H1 H 0.244 0.500 0.530
F1 F 0.107 0.000 0.278
F2 F 0.109 0.235 0.885
F3 F 0.177 0.500 0.408
```

Properties
For the energy relative to the lowest polymorph listed for this composition, the calculation gives 0.000 eV per atom.

=====

No. 12
First-principles (PBE) data for a relaxed Li2TaHg crystal, as listed in the Alexandria database.

The structure in CIF format:
```
data_Li2TaHg
_chemical_formula_sum 'Li8 Ta4 Hg4'
_space_group_name_H-M_alt 'I -4 2 d'
_space_group_IT_number 122
_space_group_name_Hall 'I -4 2bw'
_cell_length_a 7.184
_cell_length_b 7.184
_cell_length_c 5.550
_cell_angle_alpha 90.00
_cell_angle_beta 90.00
_cell_angle_gamma 90.00
loop_
_atom_site_label
_atom_site_type_symbol
_atom_site_fract_x
_atom_site_fract_y
_atom_site_fract_z
Li1 Li 0.226 0.750 0.125
Ta1 Ta 0.000 0.000 0.500
Hg1 Hg 0.000 0.000 0.000
```

Properties
As for the formation energy: 0.675 eV/atom.

=====

| no. | total moment (μB/cell) | calculated volume (A^3/atom) | Fermi-level density of states (states/eV per cell) |
| --- | --- | --- | --- |
| 1 | 0.00 | 16.9 | 11.0 |
| 2 | 0.00 | 25.2 | 2.7 |
| 3 | 0.02 | 31.8 | 30.7 |
| 4 | 0.00 | 32.4 | 15.6 |
| 5 | 0.00 | 14.7 | 0.0 |
| 6 | 161.82 | 19.8 | 350.9 |
| 7 | 0.42 | 11.7 | 3.4 |
| 8 | 0.00 | 31.9 | 52.4 |
| 9 | 0.00 | 21.1 | 19.1 |
| 10 | 16.01 | 21.9 | 23.4 |
| 11 | 2.00 | 14.7 | 14.4 |
| 12 | 0.00 | 17.9 | 15.8 |